[1]
The following is a DFT calculation (PBE-GGA) of a geometry-optimized GaAsC structure.

abc: 6.111 6.111 6.111
angles: 140.41 80.02 113.75
Atoms (fractional coordinates):
Ga (0.134, 0.000, 0.134)
Ga (0.866, 0.000, 0.866)
As (0.101, 0.351, 0.749)
As (0.602, 0.351, 0.251)
C (0.400, 0.466, 0.934)
C (0.532, 0.466, 0.066)

* SG: Imm2, No. 44
* calculated density: 4.02 g cm⁻³

---

[2]
The following is a DFT calculation (PBE-GGA) of a geometry-optimized GaAsC structure.

abc: 5.065 5.129 5.181
angles: 70.83 72.45 73.92
Atoms (fractional coordinates):
Ga (0.116, 0.344, 0.188)
Ga (0.884, 0.656, 0.812)
As (0.295, 0.640, 0.385)
As (0.705, 0.360, 0.615)
C (0.392, 0.998, 0.115)
C (0.608, 0.002, 0.885)

* SG: P-1, No. 2
* calculated density: 4.38 g cm⁻³

---

[3]
The following is a DFT calculation (PBE-GGA) of a geometry-optimized Ga2AsC structure.

abc: 4.449 4.449 4.449
angles: 60.00 60.00 60.00
Atoms (fractional coordinates):
Ga (0.250, 0.250, 0.250)
Ga (0.750, 0.750, 0.750)
As (0.000, 0.000, 0.000)
C (0.500, 0.500, 0.500)

* SG: Fm-3m, No. 225
* calculated density: 6.04 g cm⁻³

---

Table of ΔE_f (eV/atom), in record order: 0.4339, 0.4112, 1.2429